This record from Alexandria describes a relaxed LiCo2OF3 crystal. The functional is GGA+U.

Properties
distance to the lowest polymorph of the same formula	3	meV per atom
total magnetization	6.0	μB/f.u.

```
28
Lattice="5.943 -5.490 0.978 -4.449 -6.823 0.252 1.525 5.959 -5.345" Properties=species:S:1:pos:R:3 pbc="T T T"
Li -0.229 -1.981 -2.992
Li 2.836 -1.500 -1.374
Li -0.620 1.247 -3.314
Li -2.017 -4.991 -1.454
Co 0.139 0.009 -0.081
Co 2.081 -0.209 -4.618
Co 2.098 -7.692 -1.563
Co 0.498 -3.108 0.241
Co 1.236 -9.190 0.849
Co 3.152 -4.385 0.596
Co 3.503 -7.276 0.885
Co 1.747 -4.800 -1.852
F 0.375 -0.316 -3.620
F 3.561 -4.580 -3.079
F 5.092 -4.128 -0.412
F 0.168 2.935 -4.053
F -2.002 -2.221 -3.744
F 3.099 -1.526 -3.309
F -0.210 -4.836 -0.730
F 0.954 -3.544 -3.405
F -0.471 -1.769 -1.078
F 1.830 0.115 -1.070
F 2.727 1.541 -3.615
F 0.161 -7.902 -0.423
O 5.840 0.367 -3.415
O 2.875 -8.860 -0.148
O 2.305 -6.058 -0.296
O 2.192 -3.228 -0.711
```